(1)
DFT (PBE) results for AlAgAu2 after structural relaxation.

```
AlAgAu2
1.0
-2.0011 -0.5838 2.1812
3.7359 0.0294 3.4353
1.8107 4.4879 2.8625
Au Al Ag
2 1 1
direct
0.5000 0.5000 0.0000 Au
0.0000 0.0000 0.0000 Au
0.0000 0.0000 0.5000 Al
0.5000 0.5000 0.5000 Ag
```

Crystal system: monoclinic
Density (Mg/m³): 12.6
Raw total energy (eV per atom): -3.40
ΔE_f (eV/atom): -0.1132
Energy relative to the lowest polymorph listed for this composition (meV/atom): 124

(2)
DFT (PBE) results for Al2AgAu2 after structural relaxation.

```
Al2AgAu2
1.0
-0.0899 -3.9641 -0.1016
3.8890 -0.1080 0.7721
0.7293 -2.1601 6.2125
Al Au Ag
2 2 1
direct
0.2500 0.7500 0.5000 Al
0.7500 0.2500 0.5000 Al
0.6141 0.6141 0.7719 Au
0.3859 0.3859 0.2281 Au
0.0000 0.0000 0.0000 Ag
```

Crystal system: tetragonal
Density (Mg/m³): 9.8
Raw total energy (eV per atom): -3.55
ΔE_f (eV/atom): -0.1707
Energy relative to the lowest polymorph listed for this composition (meV/atom): 74

(3)
DFT (PBE) results for AlAg2Au after structural relaxation.

```
AlAg2Au
1.0
-3.8235 4.7874 4.2847
-5.9660 -0.7955 -4.4351
-5.7524 -0.0500 1.4455
Ag Al Au
4 2 2
direct
0.8750 0.8541 0.7500 Ag
0.1459 0.6250 0.2500 Ag
0.3750 0.3959 0.7500 Ag
0.6041 0.1250 0.2500 Ag
0.5000 0.5000 0.0000 Al
0.2500 0.7500 0.5000 Al
0.0000 0.0000 0.0000 Au
0.7500 0.2500 0.5000 Au
```

Crystal system: tetragonal
Density (Mg/m³): 9.7
Raw total energy (eV per atom): -3.09
ΔE_f (eV/atom): 0.0859

(4)
DFT (PBE) results for AlAgAu2 after structural relaxation.

```
AlAgAu2
1.0
3.1931 0.1502 0.0184
1.7266 2.6902 0.0184
1.6242 0.9377 8.5601
Au Al Ag
2 1 1
direct
0.2638 0.2638 0.2270 Au
0.0816 0.0816 0.7730 Au
0.6733 0.6733 0.9998 Al
0.4813 0.4813 0.5002 Ag
```

Crystal system: monoclinic
Density (Mg/m³): 12.3
Raw total energy (eV per atom): -3.46
ΔE_f (eV/atom): -0.1709
Energy relative to the lowest polymorph listed for this composition (meV/atom): 66